No. 1
Here is a geometry-optimized DyEr2Au structure from Alexandria. Energies are from PBE.

The structure in POSCAR format:
```
DyEr2Au
1.0
-1.126 -0.664 3.310
2.885 -2.001 0.580
4.240 6.936 2.834
Dy Au Er
1 1 2
direct
0.500 0.500 0.500
0.500 0.500 0.000
0.000 0.000 0.794
0.000 0.000 0.206
```

Calculated values
E above lowest polymorph = 50 meV/atom
Space group = P4/mmm, No. 123
ΔE_f = -1.6 eV/f.u.
Raw total energy = -18.63 eV per cell
Magnetization = 0.0 μB/f.u.

No. 2
Here is a geometry-optimized Dy5ErAu6 structure from Alexandria. Energies are from PBE.

The structure in POSCAR format:
```
Dy5ErAu6
1.0
5.030 -0.323 0.825
-0.020 6.575 2.696
1.175 0.252 8.759
Er Au Dy
1 6 5
direct
0.000 0.000 0.000
0.835 0.586 0.331
0.835 0.083 0.331
0.500 0.753 0.000
0.500 0.247 0.000
0.165 0.917 0.669
0.165 0.414 0.669
0.667 0.167 0.666
0.333 0.334 0.333
0.000 0.500 0.000
0.667 0.666 0.667
0.333 0.833 0.334
```

Calculated values
Space group = Immm, No. 71
ΔE_f = -10.4 eV/f.u.
Raw total energy = -57.62 eV per cell
Magnetization = 0.0 μB/f.u.

No. 3
Here is a geometry-optimized DyErAu structure from Alexandria. Energies are from PBE.

The structure in POSCAR format:
```
DyErAu
1.0
3.792 0.000 0.000
0.000 4.889 0.000
0.000 -2.444 4.234
Dy Au Er
1 1 1
direct
0.602 0.667 0.333
0.323 0.333 0.667
0.075 0.000 0.000
```

Calculated values
E above lowest polymorph = 222 meV/atom
Space group = P3m1, No. 156
ΔE_f = -1.3 eV/f.u.
Raw total energy = -13.72 eV per cell
Magnetization = 0.0 μB/f.u.

No. 4
Here is a geometry-optimized Dy3ErAu2 structure from Alexandria. Energies are from PBE.

The structure in POSCAR format:
```
Dy3ErAu2
1.0
-0.512 2.751 4.102
-0.676 -5.888 3.864
8.855 -0.202 1.241
Dy Er Au
6 2 4
direct
0.000 0.488 0.926
0.000 0.988 0.074
0.500 0.650 0.169
0.500 0.150 0.831
0.000 0.350 0.332
0.000 0.850 0.668
0.500 0.513 0.573
0.500 0.013 0.427
0.500 0.740 0.847
0.500 0.240 0.153
0.000 0.260 0.651
0.000 0.760 0.349
```

Calculated values
Space group = Pmc2_1, No. 26
ΔE_f = -3.8 eV/f.u.
Raw total energy = -57.51 eV per cell
Magnetization = 0.0 μB/f.u.

No. 5
Here is a geometry-optimized DyEr2Au structure from Alexandria. Energies are from PBE.

The structure in POSCAR format:
```
DyEr2Au
1.0
-4.664 -1.314 0.602
3.250 0.039 5.480
-1.961 7.467 1.110
Dy Er Au
2 4 2
direct
0.957 0.913 0.250
0.043 0.087 0.750
0.355 0.711 0.537
0.645 0.289 0.463
0.355 0.711 0.963
0.645 0.289 0.037
0.795 0.589 0.750
0.205 0.411 0.250
```

Calculated values
E above lowest polymorph = 41 meV/atom
Space group = Cmcm, No. 63
ΔE_f = -1.7 eV/f.u.
Raw total energy = -37.33 eV per cell
Magnetization = 0.0 μB/f.u.

No. 6
Here is a geometry-optimized DyEr3Au structure from Alexandria. Energies are from PBE.

The structure in POSCAR format:
```
DyEr3Au
1.0
7.055 -0.068 -0.420
-1.995 6.767 0.420
-3.151 -2.880 6.460
Dy Er Au
2 6 2
direct
0.697 0.081 0.778
0.303 0.919 0.222
0.826 0.989 0.216
0.228 0.391 0.216
0.772 0.609 0.784
0.732 0.454 0.186
0.174 0.011 0.784
0.268 0.546 0.814
0.664 0.770 0.433
0.336 0.230 0.567
```

Calculated values
Space group = C2/m, No. 12
ΔE_f = -1.1 eV/f.u.
Raw total energy = -45.42 eV per cell
Magnetization = 0.0 μB/f.u.